(1)
{
  "formula": "K2MnCu",
  "functional": "GGA-PBE",
  "state": "optimized geometry",
  "spacegroup": "I-42d, No. 122",
  "delta_e_f_mev_per_atom": 678,
  "polymorph_energy_mev_per_atom": 170.6,
  "lattice_angstrom": [[-4.383, 5.050, 10.123], [-5.903, -10.282, 2.573], [-3.221, -3.412, 7.577]],
  "species": ["K", "K", "K", "K", "Mn", "Mn", "Cu", "Cu"],
  "frac_coords": [[0.793, 0.125, 0.250], [0.957, 0.625, 0.250], [0.375, 0.207, 0.750], [0.875, 0.043, 0.750], [0.500, 0.500, 0.000], [0.250, 0.750, 0.500], [0.000, 0.000, 0.000], [0.750, 0.250, 0.500]]
}

***

(2)
{
  "formula": "KMn2Cu",
  "functional": "GGA-PBE",
  "state": "optimized geometry",
  "spacegroup": "P4/mmm, No. 123",
  "delta_e_f_mev_per_atom": 1091,
  "polymorph_energy_mev_per_atom": 448.1,
  "lattice_angstrom": [[-2.424, 1.098, -3.990], [-3.200, -2.217, 1.334], [-1.539, 3.336, 1.854]],
  "species": ["Cu", "K", "Mn", "Mn"],
  "frac_coords": [[0.500, 0.500, 0.000], [0.500, 0.000, 0.500], [0.000, 0.000, 0.000], [0.000, 0.500, 0.500]]
}

***

(3)
{
  "formula": "K2MnCu",
  "functional": "GGA-PBE",
  "state": "optimized geometry",
  "spacegroup": "Pm, No. 6",
  "delta_e_f_mev_per_atom": 623,
  "polymorph_energy_mev_per_atom": 114.9,
  "lattice_angstrom": [[-3.491, 2.282, -1.003], [-2.932, -3.078, 3.201], [-0.292, 2.379, 6.425]],
  "species": ["Cu", "K", "K", "Mn"],
  "frac_coords": [[0.500, 0.572, 0.730], [0.000, 0.981, 0.913], [0.500, 0.276, 0.324], [0.000, 0.671, 0.534]]
}

***

(4)
{
  "formula": "KMn2Cu",
  "functional": "GGA-PBE",
  "state": "optimized geometry",
  "spacegroup": "C2/m, No. 12",
  "delta_e_f_mev_per_atom": 864,
  "polymorph_energy_mev_per_atom": 221.6,
  "lattice_angstrom": [[-0.370, -2.591, -3.745], [2.382, -0.802, -3.816], [3.317, -5.030, 1.779]],
  "species": ["Cu", "K", "Mn", "Mn"],
  "frac_coords": [[0.750, 0.750, 0.750], [0.250, 0.250, 0.250], [0.028, 0.028, 0.836], [0.472, 0.472, 0.664]]
}

***

(5)
{
  "formula": "KMn2Cu",
  "functional": "GGA-PBE",
  "state": "optimized geometry",
  "spacegroup": "P2/m, No. 10",
  "delta_e_f_mev_per_atom": 745,
  "polymorph_energy_mev_per_atom": 102.7,
  "lattice_angstrom": [[-3.353, -2.367, -0.570], [1.024, -1.895, 1.850], [-2.900, 2.539, 6.515]],
  "species": ["Cu", "K", "Mn", "Mn"],
  "frac_coords": [[0.500, 0.250, 0.250], [0.500, 0.750, 0.750], [0.000, 0.017, 0.101], [0.000, 0.483, 0.399]]
}

***

(6)
{
  "formula": "K2MnCu",
  "functional": "GGA-PBE",
  "state": "optimized geometry",
  "spacegroup": "Fm-3m, No. 225",
  "delta_e_f_mev_per_atom": 882,
  "polymorph_energy_mev_per_atom": 374.0,
  "lattice_angstrom": [[0.000, 4.087, 4.087], [4.087, 0.000, 4.087], [4.087, 4.087, 0.000]],
  "species": ["K", "K", "Mn", "Cu"],
  "frac_coords": [[0.250, 0.250, 0.250], [0.750, 0.750, 0.750], [0.000, 0.000, 0.000], [0.500, 0.500, 0.500]]
}

***

(7)
{
  "formula": "KMnCu",
  "functional": "GGA-PBE",
  "state": "optimized geometry",
  "spacegroup": "P3m1, No. 156",
  "delta_e_f_mev_per_atom": 831,
  "polymorph_energy_mev_per_atom": 242.3,
  "lattice_angstrom": [[-0.723, -0.942, 3.071], [3.084, -0.269, -1.122], [1.503, 6.908, 2.472]],
  "species": ["Cu", "K", "Mn"],
  "frac_coords": [[0.000, 0.000, 0.951], [0.667, 0.333, 0.317], [0.333, 0.667, 0.733]]
}

***

(8)
{
  "formula": "KMnCu",
  "functional": "GGA-PBE",
  "state": "optimized geometry",
  "spacegroup": "F-43m, No. 216",
  "delta_e_f_mev_per_atom": 1461,
  "polymorph_energy_mev_per_atom": 872.2,
  "lattice_angstrom": [[5.216, 0.000, 0.000], [2.608, 4.517, 0.000], [2.608, 1.506, 4.259]],
  "species": ["Cu", "K", "Mn"],
  "frac_coords": [[0.500, 0.500, 0.500], [0.250, 0.250, 0.250], [0.000, 0.000, 0.000]]
}